## i
Below is a relaxed Re3Ge crystal, with properties calculated at the PBE-GGA level.

Cell lengths 4.947, 4.947, 4.947 Å; angles 134.91, 134.91, 65.67 degrees
Element x y z (fractional)
Re  0.750  0.250  0.500
Re  0.500  0.500  0.000
Re  0.250  0.750  0.500
Ge  0.000  0.000  0.000


## ii
Below is a relaxed Re3Ge crystal, with properties calculated at the PBE-GGA level.

Cell lengths 2.904, 4.433, 4.683 Å; angles 90.00, 90.00, 90.00 degrees
Element x y z (fractional)
Re  0.500  0.000  0.531
Re  0.000  0.500  0.313
Re  0.500  0.500  0.821
Ge  0.000  0.000  0.002


## iii
Below is a relaxed Re3Ge crystal, with properties calculated at the PBE-GGA level.

Cell lengths 5.542, 5.542, 4.484 Å; angles 90.00, 90.00, 120.00 degrees
Element x y z (fractional)
Ge  0.333  0.667  0.750
Ge  0.667  0.333  0.250
Re  0.340  0.170  0.750
Re  0.830  0.170  0.750
Re  0.830  0.660  0.750
Re  0.170  0.340  0.250
Re  0.660  0.830  0.250
Re  0.170  0.830  0.250


Stability, lowest: i